VASP calculation (PBE) on a relaxed Ti2CdI crystal.

Lattice parameters (Å, degrees): 4.8508 4.8508 4.8508 60.00 60.00 60.00
Site moments in Bohr magnetons follow the coordinates.
Element x y z (fractional)
1 Ti 0.7500 0.7500 0.7500  0.48
2 Cd 0.0000 0.0000 0.0000  0.02
3 I 0.5000 0.5000 0.5000  -0.01
4 Ti 0.2500 0.2500 0.2500  0.48

Calculated values
* crystal system: cubic
* volume: 81 Å³/f.u.
* N(E_F): 8.13 states/eV/cell
* electronic total energy: -16.73 eV for the cell shown